Entry from Alexandria: Ni2GeAsO after structural relaxation (GGA+U).

Calculated values
DFT total energy, eV per formula unit: -11.6

a b c (Å): 4.2744 4.2744 4.8789
angles (deg): 90.00 90.00 90.00
Fractional positions:
Ni 0.0000 0.5000 0.0000
Ni 0.5000 0.0000 0.0000
Ge 0.0000 0.0000 0.0000
As 0.0000 0.0000 0.5000
O 0.5000 0.5000 0.5000